Here is crystalline MoHPt2W at its relaxed geometry from Alexandria via LeMat-Bulk. Energies are from PBE.

a = 3.919 Å, b = 3.919 Å, c = 4.220 Å
α = 90.00°, β = 90.00°, γ = 90.00°
Space group P4/mmm (No. 123)
One atom of each set of equivalent atoms:
Mo  0.000  0.000  0.000 x1
H  0.000  0.000  0.500 x1
Pt  0.000  0.500  0.500 x2
W  0.500  0.500  0.000 x1

Properties
* calculated density: 17.2 Mg/m³



Here is crystalline Cd2NiPdN at its relaxed geometry from Alexandria via LeMat-Bulk. Energies are from PBE.

a = 5.122 Å, b = 5.122 Å, c = 3.357 Å
α = 90.00°, β = 90.00°, γ = 90.00°
Space group P4/mmm (No. 123)
One atom of each set of equivalent atoms:
Cd  0.000  0.500  0.000 x2
Ni  0.000  0.000  0.000 x1
Pd  0.500  0.500  0.500 x1
N  0.000  0.000  0.500 x1

Properties
* calculated density: 7.6 Mg/m³



Here is crystalline CuTeSe2 at its relaxed geometry from Alexandria via LeMat-Bulk. Energies are from PBE.

a = 3.8840 Å, b = 3.8840 Å, c = 20.2090 Å
α = 90.00°, β = 90.00°, γ = 120.00°
Space group R3m (No. 160, hexagonal axes)
One atom of each set of equivalent atoms:
Cu  0.0000  0.0000  0.0000 x3
Te  0.0000  0.0000  0.7466 x3
Se  0.0000  0.0000  0.2834 x3
Se  0.0000  0.0000  0.5038 x3

Properties
* calculated density: 6.6 Mg/m³



Here is crystalline PbClO at its relaxed geometry from Alexandria via LeMat-Bulk. Energies are from PBE.

a = 7.093 Å, b = 3.698 Å, c = 10.008 Å
α = 90.00°, β = 90.00°, γ = 90.00°
Space group Pnma (No. 62)
One atom of each set of equivalent atoms:
Pb  0.152  0.250  0.106 x4
Cl  0.012  0.250  0.694 x4
O  0.146  0.750  0.977 x4

Properties
* calculated density: 6.5 Mg/m³



Fermi-level density of states values, unit states/eV per cell, following the record order: 3.6; 2.8; 6.2; 7.0.
Calculated total energy values, unit eV per atom, following the record order: -7.8421; -3.9037; -3.5063; -4.2482.